Compound: Ca2ZrAl
Source: the Alexandria database
Functional: PBE
Structure: optimized geometry

abc: 6.053 6.053 6.053
angles: 136.29 136.29 63.53
Atoms (fractional coordinates):
Ca 0.250 0.750 0.500
Ca 0.750 0.250 0.500
Zr 0.000 0.000 0.000
Al 0.500 0.500 0.000

Results
total magnetic moment	0.9	μB/f.u.
symmetry	I4/mmm (139)
formation energy from the elements	64	kJ/mol of formula units
calculated density	3.2	Mg/m³
crystal system	tetragonal
total DFT energy (no corrections)	-3.907	eV per atom

Compound: CaZrAl2
Source: the Alexandria database
Functional: PBE
Structure: optimized geometry

abc: 9.898 9.898 9.898
angles: 19.27 19.27 19.27
Atoms (fractional coordinates):
Ca 0.000 0.000 0.000
Zr 0.500 0.500 0.500
Al 0.245 0.245 0.245
Al 0.755 0.755 0.755

Results
total magnetic moment	0.0	μB/f.u.
symmetry	R-3m (166)
formation energy from the elements	-17	kJ/mol of formula units
calculated density	3.3	Mg/m³
crystal system	trigonal
total DFT energy (no corrections)	-4.552	eV per atom

Compound: Ca2ZrAl
Source: the Alexandria database
Functional: PBE
Structure: optimized geometry

abc: 11.262 11.262 11.262
angles: 17.24 17.24 17.24
Atoms (fractional coordinates):
Ca 0.245 0.245 0.245
Ca 0.755 0.755 0.755
Zr 0.000 0.000 0.000
Al 0.500 0.500 0.500

Results
total magnetic moment	0.3	μB/f.u.
symmetry	R-3m (166)
formation energy from the elements	84	kJ/mol of formula units
calculated density	3.0	Mg/m³
crystal system	trigonal
total DFT energy (no corrections)	-3.857	eV per atom

Compound: CaZrAl
Source: the Alexandria database
Functional: PBE
Structure: optimized geometry

abc: 6.898 6.898 6.961
angles: 103.15 103.15 27.23
Atoms (fractional coordinates):
Ca 0.138 0.138 0.071
Ca 0.862 0.862 0.929
Zr 0.161 0.161 0.566
Zr 0.839 0.839 0.434
Al 0.498 0.498 0.303
Al 0.502 0.502 0.697

Results
total magnetic moment	0.0	μB/f.u.
symmetry	C2/m (12)
formation energy from the elements	-31	kJ/mol of formula units
calculated density	3.6	Mg/m³
crystal system	monoclinic
total DFT energy (no corrections)	-4.872	eV per atom

Compound: CaZr2Al
Source: the Alexandria database
Functional: PBE
Structure: optimized geometry

abc: 3.136 3.136 9.755
angles: 90.00 90.00 90.00
Atoms (fractional coordinates):
Ca 0.000 0.000 0.000
Zr 0.500 0.500 0.302
Zr 0.500 0.500 0.698
Al 0.000 0.000 0.500

Results
total magnetic moment	0.0	μB/f.u.
symmetry	P4/mmm (123)
formation energy from the elements	-13	kJ/mol of formula units
calculated density	4.3	Mg/m³
crystal system	tetragonal
total DFT energy (no corrections)	-5.744	eV per atom

Compound: CaZr2Al
Source: the Alexandria database
Functional: PBE
Structure: optimized geometry

abc: 5.596 5.596 5.596
angles: 133.04 133.04 68.59
Atoms (fractional coordinates):
Ca 0.000 0.000 0.000
Zr 0.250 0.750 0.500
Zr 0.500 0.500 0.000
Al 0.750 0.250 0.500

Results
total magnetic moment	0.0	μB/f.u.
symmetry	I-4m2 (119)
formation energy from the elements	26	kJ/mol of formula units
calculated density	4.5	Mg/m³
crystal system	tetragonal
total DFT energy (no corrections)	-5.643	eV per atom

Compound: CaZrAl
Source: the Alexandria database
Functional: PBE
Structure: optimized geometry

abc: 5.440 5.440 7.235
angles: 104.36 104.36 46.05
Atoms (fractional coordinates):
Ca 0.160 0.160 0.100
Ca 0.840 0.840 0.900
Zr 0.155 0.155 0.572
Zr 0.845 0.845 0.428
Al 0.490 0.490 0.691
Al 0.510 0.510 0.309

Results
total magnetic moment	0.9	μB/f.u.
symmetry	C2/m (12)
formation energy from the elements	-16	kJ/mol of formula units
calculated density	3.5	Mg/m³
crystal system	monoclinic
total DFT energy (no corrections)	-4.820	eV per atom

Compound: Ca2ZrAl
Source: the Alexandria database
Functional: PBE
Structure: optimized geometry

abc: 5.287 5.287 5.287
angles: 120.33 120.33 89.43
Atoms (fractional coordinates):
Ca 0.000 0.000 0.000
Ca 0.750 0.250 0.500
Zr 0.250 0.750 0.500
Al 0.500 0.500 0.000

Results
total magnetic moment	0.0	μB/f.u.
symmetry	I-4m2 (119)
formation energy from the elements	68	kJ/mol of formula units
calculated density	3.2	Mg/m³
crystal system	tetragonal
total DFT energy (no corrections)	-3.898	eV per atom

Compound: CaZr2Al
Source: the Alexandria database
Functional: PBE
Structure: optimized geometry

abc: 3.309 3.864 7.730
angles: 90.00 90.00 90.00
Atoms (fractional coordinates):
Ca 0.000 0.000 0.000
Zr 0.000 0.000 0.549
Zr 0.500 0.500 0.329
Al 0.500 0.500 0.738

Results
total magnetic moment	0.0	μB/f.u.
symmetry	Pmm2 (25)
formation energy from the elements	-15	kJ/mol of formula units
calculated density	4.2	Mg/m³
crystal system	orthorhombic
total DFT energy (no corrections)	-5.750	eV per atom

Compound: CaZrAl2
Source: the Alexandria database
Functional: PBE
Structure: optimized geometry

abc: 3.137 4.088 6.842
angles: 90.00 90.00 90.00
Atoms (fractional coordinates):
Ca 0.000 0.000 0.000
Zr 0.000 0.000 0.500
Al 0.500 0.500 0.286
Al 0.500 0.500 0.714

Results
total magnetic moment	0.0	μB/f.u.
symmetry	Pmmm (47)
formation energy from the elements	-110	kJ/mol of formula units
calculated density	3.5	Mg/m³
crystal system	orthorhombic
total DFT energy (no corrections)	-4.794	eV per atom

Compound: Ca2ZrAl
Source: the Alexandria database
Functional: PBE
Structure: optimized geometry

abc: 6.067 6.067 3.283
angles: 90.09 90.09 116.26
Atoms (fractional coordinates):
Ca 0.000 0.500 0.000
Ca 0.500 0.000 0.000
Zr 0.000 0.000 0.500
Al 0.500 0.500 0.500

Results
total magnetic moment	0.7	μB/f.u.
symmetry	C2/m (12)
formation energy from the elements	85	kJ/mol of formula units
calculated density	3.0	Mg/m³
crystal system	monoclinic
total DFT energy (no corrections)	-3.854	eV per atom

Compound: CaZr2Al
Source: the Alexandria database
Functional: PBE
Structure: optimized geometry

abc: 3.154 3.975 7.805
angles: 90.00 90.00 90.00
Atoms (fractional coordinates):
Ca 0.000 0.000 0.000
Zr 0.500 0.500 0.308
Zr 0.500 0.500 0.692
Al 0.000 0.000 0.500

Results
total magnetic moment	0.0	μB/f.u.
symmetry	Pmmm (47)
formation energy from the elements	22	kJ/mol of formula units
calculated density	4.2	Mg/m³
crystal system	orthorhombic
total DFT energy (no corrections)	-5.653	eV per atom

Compound: CaZrAl
Source: the Alexandria database
Functional: PBE
Structure: optimized geometry

abc: 4.928 4.928 4.928
angles: 60.00 60.00 60.00
Atoms (fractional coordinates):
Ca 0.000 0.000 0.000
Zr 0.500 0.500 0.500
Al 0.250 0.250 0.250

Results
total magnetic moment	0.1	μB/f.u.
symmetry	F-43m (216)
formation energy from the elements	94	kJ/mol of formula units
calculated density	3.1	Mg/m³
crystal system	cubic
total DFT energy (no corrections)	-4.439	eV per atom

Compound: CaZrAl2
Source: the Alexandria database
Functional: PBE
Structure: optimized geometry

abc: 5.266 5.266 3.142
angles: 90.00 90.00 101.08
Atoms (fractional coordinates):
Ca 0.000 0.000 0.000
Zr 0.500 0.500 0.000
Al 0.000 0.500 0.500
Al 0.500 0.000 0.500

Results
total magnetic moment	0.0	μB/f.u.
symmetry	Cmmm (65)
formation energy from the elements	-84	kJ/mol of formula units
calculated density	3.6	Mg/m³
crystal system	orthorhombic
total DFT energy (no corrections)	-4.726	eV per atom

Compound: CaZrAl
Source: the Alexandria database
Functional: PBE
Structure: optimized geometry

abc: 5.997 5.997 8.419
angles: 109.76 109.76 31.65
Atoms (fractional coordinates):
Ca 0.000 0.000 0.000
Ca 0.684 0.684 0.771
Zr 0.314 0.314 0.198
Zr 0.676 0.676 0.377
Al 0.374 0.374 0.626
Al 0.986 0.986 0.457

Results
total magnetic moment	0.0	μB/f.u.
symmetry	Cm (8)
formation energy from the elements	-17	kJ/mol of formula units
calculated density	3.5	Mg/m³
crystal system	monoclinic
total DFT energy (no corrections)	-4.823	eV per atom

Compound: CaZrAl
Source: the Alexandria database
Functional: PBE
Structure: optimized geometry

abc: 7.306 7.306 7.306
angles: 154.36 154.36 36.58
Atoms (fractional coordinates):
Ca 0.000 0.000 0.000
Zr 0.299 0.299 0.000
Al 0.666 0.666 0.000

Results
total magnetic moment	0.0	μB/f.u.
symmetry	I4mm (107)
formation energy from the elements	-21	kJ/mol of formula units
calculated density	3.6	Mg/m³
crystal system	tetragonal
total DFT energy (no corrections)	-4.835	eV per atom

Compound: Al6Cd7
Source: the Alexandria database
Functional: PBE
Structure: optimized geometry

abc: 9.951 9.951 9.951
angles: 34.39 34.39 34.39
Atoms (fractional coordinates):
Al 0.048 0.048 0.048
Al 0.151 0.151 0.151
Al 0.334 0.334 0.334
Al 0.666 0.666 0.666
Al 0.849 0.849 0.849
Al 0.952 0.952 0.952
Cd 0.079 0.586 0.586
Cd 0.414 0.414 0.921
Cd 0.414 0.921 0.414
Cd 0.500 0.500 0.500
Cd 0.586 0.079 0.586
Cd 0.586 0.586 0.079
Cd 0.921 0.414 0.414

Results
total magnetic moment	0.0	μB/f.u.
symmetry	R-3m (166)
formation energy from the elements	338	kJ/mol of formula units
calculated density	5.6	Mg/m³
crystal system	trigonal
total DFT energy (no corrections)	-1.951	eV per atom

Compound: Al3Cd
Source: the Alexandria database
Functional: PBE
Structure: optimized geometry

abc: 8.783 8.783 8.783
angles: 152.11 152.11 39.85
Atoms (fractional coordinates):
Al 0.000 0.500 0.500
Al 0.124 0.124 0.000
Al 0.250 0.750 0.500
Al 0.500 0.000 0.500
Al 0.750 0.250 0.500
Al 0.876 0.876 0.000
Cd 0.374 0.374 0.000
Cd 0.626 0.626 0.000

Results
total magnetic moment	0.0	μB/f.u.
symmetry	I4/mmm (139)
formation energy from the elements	55	kJ/mol of formula units
calculated density	4.3	Mg/m³
crystal system	tetragonal
total DFT energy (no corrections)	-2.894	eV per atom

Compound: AlCd
Source: the Alexandria database
Functional: PBE
Structure: optimized geometry

abc: 5.064 5.064 8.521
angles: 111.50 111.50 36.17
Atoms (fractional coordinates):
Al 0.000 0.000 0.000
Al 0.327 0.327 0.144
Al 0.673 0.673 0.856
Cd 0.000 0.000 0.500
Cd 0.337 0.337 0.683
Cd 0.663 0.663 0.317

Results
total magnetic moment	0.0	μB/f.u.
symmetry	C2/m (12)
formation energy from the elements	18	kJ/mol of formula units
calculated density	5.8	Mg/m³
crystal system	monoclinic
total DFT energy (no corrections)	-2.233	eV per atom

Compound: Al3Cd
Source: the Alexandria database
Functional: PBE
Structure: optimized geometry

abc: 5.476 5.476 5.273
angles: 90.00 90.00 91.48
Atoms (fractional coordinates):
Al 0.061 0.582 0.250
Al 0.071 0.929 0.750
Al 0.418 0.939 0.250
Al 0.582 0.061 0.750
Al 0.929 0.071 0.250
Al 0.939 0.418 0.750
Cd 0.433 0.567 0.750
Cd 0.567 0.433 0.250

Results
total magnetic moment	0.0	μB/f.u.
symmetry	Cmcm (63)
formation energy from the elements	89	kJ/mol of formula units
calculated density	4.1	Mg/m³
crystal system	orthorhombic
total DFT energy (no corrections)	-2.806	eV per atom